# 1
11
Lattice="5.481 0.004 0.056 -2.706 4.766 0.056 -0.988 -1.698 5.536" Properties=species:S:1:pos:R:3 comment="Na2Sc2NbO6 | the Alexandria database | PBE | optimized geometry" raw_formation_energy_ev_per_atom=-2.69 dft_energy_ev_per_cell=-84.66 density_g_cm3=3.70 n_ef_per_ev_fu=3.28 pbc="T T T"
O 0.421 0.724 1.704
Nb -0.494 -0.849 2.768
Na -1.347 3.976 0.056
O 1.365 2.347 3.942
Sc 2.227 0.760 2.823
Na 4.122 0.794 0.056
O 0.492 3.984 1.792
Sc -0.440 2.312 2.823
O 3.220 2.397 1.792
O -1.433 0.674 3.855
O 1.295 -0.913 3.855

---

# 2
4
Lattice="-1.314 -4.024 4.369 2.352 -5.567 0.695 1.456 5.823 -0.992" Properties=species:S:1:pos:R:3 comment="CdRuCl2 | the Alexandria database | PBE | optimized geometry" raw_formation_energy_ev_per_atom=0.41 dft_energy_ev_per_cell=-12.25 density_g_cm3=5.91 n_ef_per_ev_fu=4.02 e_above_lowest_polymorph_mev_per_atom=605 pbc="T T T"
Cl 0.000 0.000 0.000
Cl 2.164 -2.270 1.118
Ru 0.519 -4.796 2.532
Cd 0.331 -1.499 2.954

---

# 3
9
Lattice="-5.663 -1.254 -3.610 -3.538 -4.865 4.487 -5.302 2.452 4.712" Properties=species:S:1:pos:R:3 comment="PaTl2Cl6 | the Alexandria database | PBE | optimized geometry" raw_formation_energy_ev_per_atom=-1.54 dft_energy_ev_per_cell=-39.19 density_g_cm3=4.35 e_above_lowest_polymorph_mev_per_atom=15 pbc="T T T"
Tl -3.849 -0.986 1.908
Tl -10.654 -2.681 3.680
Cl -7.821 -3.860 0.634
Cl -6.682 0.193 4.954
Pa 0.000 0.000 0.000
Cl -5.331 -1.255 -0.989
Cl -9.172 -2.413 6.577
Cl -5.792 -3.500 4.841
Cl -8.711 -0.167 0.747

---

# 4
12
Lattice="-1.544 -1.830 5.455 5.551 -5.788 2.882 0.811 7.535 6.011" Properties=species:S:1:pos:R:3 comment="Pr3Y4Er5 | the Alexandria database | PBE | optimized geometry" dft_energy_ev_per_cell=-60.22 density_g_cm3=6.74 n_ef_per_ev_fu=19.84 e_above_lowest_polymorph_mev_per_atom=212 pbc="T T T"
Er 4.961 -0.573 10.971
Er 2.301 -2.171 3.176
Er 2.517 2.088 11.172
Y 4.377 -4.245 9.573
Y 4.863 2.337 8.667
Er -0.143 0.490 3.377
Pr 3.181 0.874 4.447
Pr 1.616 2.850 7.920
Y -0.045 -2.420 5.681
Pr 3.202 -2.933 6.428
Er 2.409 -0.042 7.174
Y 0.441 4.161 4.774

---

# 5
8
Lattice="5.009 0.000 0.000 0.000 4.900 1.034 0.000 2.854 10.738" Properties=species:S:1:pos:R:3 comment="Nd2YEr4Sc | the Alexandria database | PBE | optimized geometry" dft_energy_ev_per_cell=-40.28 density_g_cm3=7.29 n_ef_per_ev_fu=12.06 pbc="T T T"
Er 0.000 5.827 8.775
Sc 0.000 3.877 5.886
Nd 0.000 2.854 10.738
Er 2.505 4.377 3.511
Er 5.009 1.926 2.998
Nd 2.505 1.427 5.369
Er 2.505 3.376 8.261
Y 2.505 5.304 11.256

---

# 6
4
Lattice="-0.760 -6.847 -6.585 0.890 -8.258 -4.673 -1.986 -8.237 -4.363" Properties=species:S:1:pos:R:3 comment="YCuRe2 | the Alexandria database | PBE | optimized geometry" dft_energy_ev_per_cell=-33.68 density_g_cm3=12.81 n_ef_per_ev_fu=3.48 e_above_lowest_polymorph_mev_per_atom=362 pbc="T T T"
Cu -1.379 -17.336 -11.602
Re -1.855 -23.330 -15.614
Re -0.483 -6.068 -4.061
Y -0.924 -11.620 -7.777

---

# 7
7
Lattice="5.309 0.001 -1.868 -2.646 4.592 -1.892 0.001 -0.001 5.628" Properties=species:S:1:pos:R:3 comment="Hf4MoIr2 | the Alexandria database | PBE | optimized geometry" dft_energy_ev_per_cell=-72.08 density_g_cm3=14.46 n_ef_per_ev_fu=5.72 pbc="T T T"
Hf 1.332 2.296 0.934
Ir 2.655 0.000 1.880
Hf 2.654 0.000 -0.934
Ir 1.331 2.297 -1.880
Hf 0.000 0.000 2.814
Mo 0.000 0.000 0.000
Hf -1.323 2.296 -0.946

---

# 8
7
Lattice="3.437 0.000 0.000 0.000 4.637 0.000 0.000 -2.319 11.243" Properties=species:S:1:pos:R:3 comment="Er2Tl2Cd3 | the Alexandria database | PBE | optimized geometry" dft_energy_ev_per_cell=-17.47 density_g_cm3=10.01 n_ef_per_ev_fu=4.49 pbc="T T T"
Er 0.000 2.319 7.928
Tl 1.719 0.000 6.579
Cd 0.000 0.000 0.000
Cd 1.719 2.319 1.502
Tl 1.719 2.319 4.663
Cd 1.719 0.000 9.741
Er 0.000 0.000 3.315